Entry 1:
The following is a DFT calculation (PBE-GGA) of a relaxed structure of Dy4ErTh.

a = 5.564 Å, b = 11.927 Å, c = 8.421 Å
α = 123.64°, β = 89.99°, γ = 117.82°
Atoms (fractional coordinates):
Dy  0.237  0.987  0.644
Dy  0.978  0.728  0.125
Dy  0.093  0.343  0.356
Dy  0.353  0.603  0.875
Dy  0.763  0.013  0.356
Dy  0.907  0.657  0.644
Dy  0.022  0.272  0.875
Dy  0.647  0.397  0.125
Er  0.424  0.674  0.348
Er  0.576  0.326  0.652
Th  0.691  0.941  0.881
Th  0.309  0.059  0.119

- crystal system = monoclinic
- energy above the most stable polymorph in this dataset (meV/atom) = 60
- DOS at the Fermi energy (states/eV per cell) = 19.49


Entry 2:
The following is a DFT calculation (PBE-GGA) of a relaxed structure of Dy2Er7Th2.

a = 8.542 Å, b = 5.963 Å, c = 8.542 Å
α = 64.27°, β = 95.83°, γ = 115.73°
Atoms (fractional coordinates):
Dy  0.236  0.886  0.764
Dy  0.764  0.114  0.236
Er  0.407  0.180  0.060
Er  0.060  0.820  0.407
Er  0.593  0.820  0.940
Er  0.940  0.180  0.593
Er  0.592  0.378  0.408
Er  0.000  0.000  0.000
Er  0.408  0.622  0.592
Th  0.788  0.500  0.788
Th  0.212  0.500  0.212

- crystal system = monoclinic
- energy above the most stable polymorph in this dataset (meV/atom) = 6
- DOS at the Fermi energy (states/eV per cell) = 16.07


Entry 3:
The following is a DFT calculation (PBE-GGA) of a relaxed structure of Dy3Er12Th5.

a = 16.149 Å, b = 16.149 Å, c = 16.149 Å
α = 109.47°, β = 109.47°, γ = 109.47°
Last column: magnetic moment on the atom in μB.
Atoms (fractional coordinates):
Dy  0.750  0.375  0.125  0.11
Dy  0.875  0.750  0.125  0.11
Dy  0.375  0.750  0.625  0.11
Dy  0.250  0.125  0.375  0.11
Dy  0.875  0.125  0.250  0.11
Dy  0.375  0.625  0.250  0.11
Dy  0.625  0.375  0.750  0.11
Dy  0.125  0.875  0.750  0.11
Dy  0.750  0.875  0.625  0.11
Dy  0.625  0.250  0.375  0.11
Dy  0.125  0.250  0.875  0.11
Dy  0.250  0.625  0.875  0.11
Th  0.125  0.375  0.250  0.63
Th  0.000  0.500  0.000  0.03
Th  0.000  0.000  0.000  0.03
Th  0.375  0.250  0.125  0.63
Th  0.500  0.000  0.500  0.03
Th  0.500  0.500  0.000  0.03
Th  0.125  0.750  0.375  0.63
Th  0.750  0.125  0.875  0.63
Th  0.750  0.625  0.375  0.63
Th  0.375  0.125  0.750  0.63
Th  0.625  0.875  0.250  0.63
Th  0.500  0.500  0.500  0.03
Th  0.500  0.000  0.000  0.03
Th  0.000  0.000  0.500  0.03
Th  0.250  0.375  0.625  0.63
Th  0.250  0.875  0.125  0.63
Th  0.000  0.500  0.500  0.03
Th  0.875  0.250  0.625  0.63
Th  0.625  0.750  0.875  0.63
Th  0.875  0.625  0.750  0.63
Er  0.730  0.143  0.074  0.18
Er  0.345  0.574  0.431  0.18
Er  0.926  0.357  0.270  0.18
Er  0.574  0.230  0.143  0.18
Er  0.586  0.730  0.655  0.18
Er  0.926  0.569  0.155  0.18
Er  0.345  0.770  0.414  0.18
Er  0.069  0.914  0.143  0.18
Er  0.569  0.926  0.655  0.18
Er  0.730  0.586  0.155  0.18
Er  0.770  0.426  0.357  0.18
Er  0.845  0.931  0.074  0.18
Er  0.143  0.730  0.574  0.18
Er  0.357  0.431  0.086  0.18
Er  0.086  0.931  0.357  0.18
Er  0.414  0.143  0.569  0.18
Er  0.086  0.155  0.230  0.18
Er  0.426  0.655  0.069  0.18
Er  0.845  0.914  0.270  0.18
Er  0.143  0.414  0.069  0.18
Er  0.357  0.926  0.770  0.18
Er  0.569  0.643  0.414  0.18
Er  0.931  0.845  0.574  0.18
Er  0.770  0.345  0.914  0.18
Er  0.431  0.357  0.586  0.18
Er  0.069  0.155  0.426  0.18
Er  0.230  0.655  0.086  0.18
Er  0.155  0.086  0.730  0.18
Er  0.643  0.074  0.230  0.18
Er  0.857  0.586  0.931  0.18
Er  0.574  0.345  0.931  0.18
Er  0.586  0.857  0.431  0.18
Er  0.914  0.845  0.770  0.18
Er  0.914  0.069  0.643  0.18
Er  0.857  0.270  0.426  0.18
Er  0.155  0.069  0.926  0.18
Er  0.643  0.569  0.914  0.18
Er  0.431  0.074  0.345  0.18
Er  0.270  0.414  0.845  0.18
Er  0.230  0.574  0.643  0.18
Er  0.931  0.086  0.857  0.18
Er  0.655  0.230  0.586  0.18
Er  0.426  0.770  0.857  0.18
Er  0.074  0.431  0.845  0.18
Er  0.414  0.270  0.345  0.18
Er  0.074  0.643  0.730  0.18
Er  0.655  0.426  0.569  0.18
Er  0.270  0.857  0.926  0.18

- crystal system = cubic
- final energy (eV per atom) = -4.044
- DOS at the Fermi energy (states/eV per cell) = 170.24


Repeat the second record exactly.
The following is a DFT calculation (PBE-GGA) of a relaxed structure of Dy2Er7Th2.

a = 8.542 Å, b = 5.963 Å, c = 8.542 Å
α = 64.27°, β = 95.83°, γ = 115.73°
Atoms (fractional coordinates):
Dy  0.236  0.886  0.764
Dy  0.764  0.114  0.236
Er  0.407  0.180  0.060
Er  0.060  0.820  0.407
Er  0.593  0.820  0.940
Er  0.940  0.180  0.593
Er  0.592  0.378  0.408
Er  0.000  0.000  0.000
Er  0.408  0.622  0.592
Th  0.788  0.500  0.788
Th  0.212  0.500  0.212

- crystal system = monoclinic
- energy above the most stable polymorph in this dataset (meV/atom) = 6
- DOS at the Fermi energy (states/eV per cell) = 16.07


DOS at the Fermi energy of number 3 (Dy3Er12Th5)?
170.24 states/eV per cell


The highest DOS at the Fermi energy belongs to which entry?
Dy3Er12Th5